The following is a PBE calculation of an optimized crystal structure of Er2Mg3, from the Alexandria database.

Lattice parameters (Å, degrees): 3.348 3.348 41.187 90.00 90.00 120.00
Sites, in units of the cell vectors:
Er 0.000 0.000 0.201
Er 0.000 0.000 0.799
Er 0.333 0.667 0.466
Er 0.333 0.667 0.868
Er 0.667 0.333 0.132
Er 0.667 0.333 0.534
Mg 0.000 0.000 0.000
Mg 0.000 0.000 0.397
Mg 0.000 0.000 0.603
Mg 0.333 0.667 0.064
Mg 0.333 0.667 0.270
Mg 0.333 0.667 0.667
Mg 0.667 0.333 0.333
Mg 0.667 0.333 0.730
Mg 0.667 0.333 0.936

- space-group type = No. 166
- formation energy (eV per atom) = 0.0291
- magnetization (Bohr magnetons per cell) = 0.00

The following is a PBE calculation of an optimized crystal structure of Er5Mg, from the Alexandria database.

Lattice parameters (Å, degrees): 4.889 14.798 4.874 90.00 90.00 90.00
Sites, in units of the cell vectors:
Er 0.000 0.000 0.000
Er 0.000 0.165 0.500
Er 0.000 0.331 0.000
Er 0.000 0.669 0.000
Er 0.000 0.835 0.500
Er 0.500 0.169 0.000
Er 0.500 0.335 0.500
Er 0.500 0.500 0.000
Er 0.500 0.665 0.500
Er 0.500 0.831 0.000
Mg 0.000 0.500 0.500
Mg 0.500 0.000 0.500

- space-group type = No. 65
- formation energy (eV per atom) = 0.0170
- magnetization (Bohr magnetons per cell) = 0.00

The following is a PBE calculation of an optimized crystal structure of Er2Mg, from the Alexandria database.

Lattice parameters (Å, degrees): 3.612 3.612 12.957 90.00 90.00 90.00
Sites, in units of the cell vectors:
Er 0.000 0.000 0.000
Er 0.000 0.000 0.315
Er 0.000 0.000 0.685
Er 0.500 0.500 0.500
Mg 0.500 0.500 0.155
Mg 0.500 0.500 0.845

- space-group type = No. 123
- formation energy (eV per atom) = -0.0318
- magnetization (Bohr magnetons per cell) = 0.00

The following is a PBE calculation of an optimized crystal structure of Er4Mg, from the Alexandria database.

Lattice parameters (Å, degrees): 3.505 3.505 23.750 90.00 90.00 90.00
Sites, in units of the cell vectors:
Er 0.000 0.000 0.095
Er 0.000 0.000 0.302
Er 0.000 0.000 0.698
Er 0.000 0.000 0.905
Er 0.500 0.500 0.198
Er 0.500 0.500 0.405
Er 0.500 0.500 0.595
Er 0.500 0.500 0.802
Mg 0.000 0.000 0.500
Mg 0.500 0.500 0.000

- space-group type = No. 139
- formation energy (eV per atom) = -0.0120
- magnetization (Bohr magnetons per cell) = 0.01

The following is a PBE calculation of an optimized crystal structure of ErMg4, from the Alexandria database.

Lattice parameters (Å, degrees): 3.577 3.577 19.088 90.00 90.00 90.00
Sites, in units of the cell vectors:
Er 0.000 0.000 0.000
Er 0.500 0.500 0.500
Mg 0.000 0.000 0.202
Mg 0.000 0.000 0.390
Mg 0.000 0.000 0.610
Mg 0.000 0.000 0.798
Mg 0.500 0.500 0.110
Mg 0.500 0.500 0.298
Mg 0.500 0.500 0.702
Mg 0.500 0.500 0.890

- space-group type = No. 139
- formation energy (eV per atom) = -0.0234
- magnetization (Bohr magnetons per cell) = 0.33

The following is a PBE calculation of an optimized crystal structure of ErMg2, from the Alexandria database.

Lattice parameters (Å, degrees): 6.038 6.038 9.708 90.00 90.00 120.00
Sites, in units of the cell vectors:
Er 0.333 0.667 0.064
Er 0.333 0.667 0.436
Er 0.667 0.333 0.564
Er 0.667 0.333 0.936
Mg 0.000 0.000 0.000
Mg 0.000 0.000 0.500
Mg 0.171 0.342 0.750
Mg 0.171 0.829 0.750
Mg 0.342 0.171 0.250
Mg 0.658 0.829 0.750
Mg 0.829 0.171 0.250
Mg 0.829 0.658 0.250

- space-group type = No. 194
- formation energy (eV per atom) = -0.0595
- magnetization (Bohr magnetons per cell) = 0.00

The following is a PBE calculation of an optimized crystal structure of Er3Mg, from the Alexandria database.

Lattice parameters (Å, degrees): 3.362 3.390 10.635 90.00 90.00 90.00
Sites, in units of the cell vectors:
Er 0.000 0.000 0.000
Er 0.000 0.500 0.281
Er 0.500 0.500 0.768
Mg 0.500 0.000 0.501

- space-group type = No. 25
- formation energy (eV per atom) = 0.2082
- magnetization (Bohr magnetons per cell) = 0.35

The following is a PBE calculation of an optimized crystal structure of ErMg8, from the Alexandria database.

Lattice parameters (Å, degrees): 7.139 7.139 7.139 96.27 96.27 141.40
Sites, in units of the cell vectors:
Er 0.000 0.000 0.000
Mg 0.000 0.337 0.337
Mg 0.000 0.663 0.663
Mg 0.330 0.330 0.660
Mg 0.330 0.670 0.000
Mg 0.337 0.000 0.337
Mg 0.663 0.000 0.663
Mg 0.670 0.330 0.000
Mg 0.670 0.670 0.340

- space-group type = No. 139
- formation energy (eV per atom) = -0.0204
- magnetization (Bohr magnetons per cell) = 0.00